Entry 1:
# KAuI4 SCAN single point on PBEsol structure
data_KAuI4
_cell_length_a 7.217
_cell_length_b 6.864
_cell_length_c 10.683
_cell_angle_alpha 90.00
_cell_angle_beta 118.07
_cell_angle_gamma 90.00
_space_group_name_H-M_alt 'P 1'
_space_group_IT_number 1
_space_group_name_Hall 'P 1'
loop_
_atom_site_label
_atom_site_type_symbol
_atom_site_fract_x
_atom_site_fract_y
_atom_site_fract_z
_atom_site_occupancy
K1 K 0.000 0.000 0.000 1
K2 K 0.000 0.500 0.500 1
Au1 Au 0.500 0.000 0.500 1
Au2 Au 0.500 0.500 0.000 1
I1 I 0.094 0.074 0.355 1
I2 I 0.094 0.426 0.855 1
I3 I 0.459 0.710 0.326 1
I4 I 0.459 0.790 0.826 1
I5 I 0.541 0.210 0.174 1
I6 I 0.541 0.290 0.674 1
I7 I 0.906 0.574 0.145 1
I8 I 0.906 0.926 0.645 1
# ρ = 5.29 g/cm3
# symmetry = P2_1/c
# uncorrected formation energy = -0.605 eV per atom



Entry 2:
# KAuI4O12 SCAN single point on PBEsol structure
data_KAuI4O12
_cell_length_a 5.690
_cell_length_b 7.151
_cell_length_c 7.906
_cell_angle_alpha 73.35
_cell_angle_beta 88.15
_cell_angle_gamma 66.60
_space_group_name_H-M_alt 'P 1'
_space_group_IT_number 1
_space_group_name_Hall 'P 1'
loop_
_atom_site_label
_atom_site_type_symbol
_atom_site_fract_x
_atom_site_fract_y
_atom_site_fract_z
_atom_site_occupancy
K1 K 0.000 0.000 0.000 1
Au1 Au 0.793 0.005 0.495 1
I1 I 0.334 0.353 0.182 1
I2 I 0.377 0.326 0.698 1
I3 I 0.630 0.686 0.350 1
I4 I 0.727 0.650 0.857 1
O1 O 0.221 0.331 0.402 1
O2 O 0.371 0.605 0.131 1
O3 O 0.391 0.057 0.785 1
O4 O 0.402 0.949 0.226 1
O5 O 0.504 0.680 0.568 1
O6 O 0.519 0.346 0.895 1
O7 O 0.697 0.202 0.252 1
O8 O 0.702 0.247 0.595 1
O9 O 0.857 0.646 0.069 1
O10 O 0.905 0.761 0.394 1
O11 O 0.921 0.803 0.735 1
O12 O 0.981 0.397 0.853 1
# ρ = 5.52 g/cm3
# symmetry = P1
# uncorrected formation energy = -0.522 eV per atom
# density of states at the Fermi level = 0.0 states/eV per cell



Entry 3:
# KAuIO2 SCAN single point on PBEsol structure
data_KAuIO2
_cell_length_a 4.410
_cell_length_b 4.410
_cell_length_c 7.066
_cell_angle_alpha 90.00
_cell_angle_beta 90.00
_cell_angle_gamma 90.00
_space_group_name_H-M_alt 'P 1'
_space_group_IT_number 1
_space_group_name_Hall 'P 1'
loop_
_atom_site_label
_atom_site_type_symbol
_atom_site_fract_x
_atom_site_fract_y
_atom_site_fract_z
_atom_site_occupancy
K1 K 0.000 0.000 0.000 1
Au1 Au 0.500 0.500 0.500 1
I1 I 0.000 0.000 0.500 1
O1 O 0.000 0.500 0.000 1
O2 O 0.500 0.000 0.000 1
# ρ = 4.77 g/cm3
# symmetry = P4/mmm
# uncorrected formation energy = 0.667 eV per atom
# density of states at the Fermi level = 2.0 states/eV per cell



Entry 4:
# K2SbAuI6 SCAN single point on PBEsol structure
data_K2SbAuI6
_cell_length_a 8.273
_cell_length_b 8.273
_cell_length_c 8.273
_cell_angle_alpha 60.00
_cell_angle_beta 60.00
_cell_angle_gamma 60.00
_space_group_name_H-M_alt 'P 1'
_space_group_IT_number 1
_space_group_name_Hall 'P 1'
loop_
_atom_site_label
_atom_site_type_symbol
_atom_site_fract_x
_atom_site_fract_y
_atom_site_fract_z
_atom_site_occupancy
K1 K 0.250 0.250 0.250 1
K2 K 0.750 0.750 0.750 1
Sb1 Sb 0.000 0.000 0.000 1
Au1 Au 0.500 0.500 0.500 1
I1 I 0.255 0.255 0.745 1
I2 I 0.255 0.745 0.255 1
I3 I 0.255 0.745 0.745 1
I4 I 0.745 0.255 0.255 1
I5 I 0.745 0.255 0.745 1
I6 I 0.745 0.745 0.255 1
# ρ = 4.80 g/cm3
# symmetry = Fm-3m
# uncorrected formation energy = -0.716 eV per atom
# density of states at the Fermi level = 1.1 states/eV per cell



Entry 5:
# K2TcAuI SCAN single point on PBEsol structure
data_K2TcAuI
_cell_length_a 6.437
_cell_length_b 6.437
_cell_length_c 5.449
_cell_angle_alpha 90.00
_cell_angle_beta 90.00
_cell_angle_gamma 90.00
_space_group_name_H-M_alt 'P 1'
_space_group_IT_number 1
_space_group_name_Hall 'P 1'
loop_
_atom_site_label
_atom_site_type_symbol
_atom_site_fract_x
_atom_site_fract_y
_atom_site_fract_z
_atom_site_occupancy
K1 K 0.000 0.500 0.000 1
K2 K 0.500 0.000 0.000 1
Tc1 Tc 0.000 0.000 0.500 1
Au1 Au 0.500 0.500 0.500 1
I1 I 0.500 0.500 0.000 1
# ρ = 3.68 g/cm3
# symmetry = P4/mmm
# uncorrected formation energy = 0.776 eV per atom
# density of states at the Fermi level = 5.5 states/eV per cell



Entry 6:
# KTe2AuI SCAN single point on PBEsol structure
data_KTe2AuI
_cell_length_a 5.447
_cell_length_b 5.447
_cell_length_c 5.754
_cell_angle_alpha 90.00
_cell_angle_beta 90.00
_cell_angle_gamma 90.00
_space_group_name_H-M_alt 'P 1'
_space_group_IT_number 1
_space_group_name_Hall 'P 1'
loop_
_atom_site_label
_atom_site_type_symbol
_atom_site_fract_x
_atom_site_fract_y
_atom_site_fract_z
_atom_site_occupancy
K1 K 0.000 0.000 0.000 1
Te1 Te 0.000 0.500 0.500 1
Te2 Te 0.500 0.000 0.500 1
Au1 Au 0.500 0.500 0.500 1
I1 I 0.500 0.500 0.000 1
# ρ = 6.01 g/cm3
# symmetry = P4/mmm
# uncorrected formation energy = -0.287 eV per atom
# density of states at the Fermi level = 5.0 states/eV per cell



Entry 7:
# La12Au3I13 SCAN single point on PBEsol structure
data_La12Au3I13
_cell_length_a 10.868
_cell_length_b 10.868
_cell_length_c 10.868
_cell_angle_alpha 109.58
_cell_angle_beta 109.58
_cell_angle_gamma 109.58
_space_group_name_H-M_alt 'P 1'
_space_group_IT_number 1
_space_group_name_Hall 'P 1'
loop_
_atom_site_label
_atom_site_type_symbol
_atom_site_fract_x
_atom_site_fract_y
_atom_site_fract_z
_atom_site_occupancy
La1 La 0.000 0.261 0.739 1
La2 La 0.000 0.485 0.515 1
La3 La 0.257 0.265 0.511 1
La4 La 0.261 0.739 0.000 1
La5 La 0.265 0.511 0.257 1
La6 La 0.485 0.515 0.000 1
La7 La 0.489 0.735 0.743 1
La8 La 0.511 0.257 0.265 1
La9 La 0.515 0.000 0.485 1
La10 La 0.735 0.743 0.489 1
La11 La 0.739 0.000 0.261 1
La12 La 0.743 0.489 0.735 1
Au1 Au 0.250 0.500 0.750 1
Au2 Au 0.500 0.750 0.250 1
Au3 Au 0.750 0.250 0.500 1
I1 I 0.010 0.771 0.761 1
I2 I 0.012 0.988 0.500 1
I3 I 0.229 0.990 0.239 1
I4 I 0.238 0.762 0.500 1
I5 I 0.239 0.229 0.990 1
I6 I 0.500 0.012 0.988 1
I7 I 0.500 0.238 0.762 1
I8 I 0.500 0.500 0.500 1
I9 I 0.761 0.010 0.771 1
I10 I 0.762 0.500 0.238 1
I11 I 0.771 0.761 0.010 1
I12 I 0.988 0.500 0.012 1
I13 I 0.990 0.239 0.229 1
# ρ = 6.59 g/cm3
# symmetry = R32
# uncorrected formation energy = -1.367 eV per atom
# density of states at the Fermi level = 20.6 states/eV per cell



Entry 8:
# LaAuIN2 SCAN single point on PBEsol structure
data_LaAuIN2
_cell_length_a 4.155
_cell_length_b 4.155
_cell_length_c 6.837
_cell_angle_alpha 90.00
_cell_angle_beta 90.00
_cell_angle_gamma 90.00
_space_group_name_H-M_alt 'P 1'
_space_group_IT_number 1
_space_group_name_Hall 'P 1'
loop_
_atom_site_label
_atom_site_type_symbol
_atom_site_fract_x
_atom_site_fract_y
_atom_site_fract_z
_atom_site_occupancy
La1 La 0.000 0.000 0.000 1
Au1 Au 0.500 0.500 0.500 1
I1 I 0.000 0.000 0.500 1
N1 N 0.000 0.500 0.000 1
N2 N 0.500 0.000 0.000 1
# ρ = 6.90 g/cm3
# symmetry = P4/mmm
# uncorrected formation energy = 0.725 eV per atom
# density of states at the Fermi level = 1.9 states/eV per cell



Entry 9:
# LaTeAuI2 SCAN single point on PBEsol structure
data_LaTeAuI2
_cell_length_a 6.038
_cell_length_b 6.038
_cell_length_c 6.265
_cell_angle_alpha 90.00
_cell_angle_beta 90.00
_cell_angle_gamma 90.00
_space_group_name_H-M_alt 'P 1'
_space_group_IT_number 1
_space_group_name_Hall 'P 1'
loop_
_atom_site_label
_atom_site_type_symbol
_atom_site_fract_x
_atom_site_fract_y
_atom_site_fract_z
_atom_site_occupancy
La1 La 0.000 0.000 0.000 1
Te1 Te 0.000 0.000 0.500 1
Au1 Au 0.500 0.500 0.500 1
I1 I 0.000 0.500 0.000 1
I2 I 0.500 0.000 0.000 1
# ρ = 5.22 g/cm3
# symmetry = P4/mmm
# uncorrected formation energy = -0.293 eV per atom
# density of states at the Fermi level = 2.5 states/eV per cell



Entry 10:
# LiAuI2 SCAN single point on PBEsol structure
data_LiAuI2
_cell_length_a 6.291
_cell_length_b 6.291
_cell_length_c 12.918
_cell_angle_alpha 90.00
_cell_angle_beta 90.00
_cell_angle_gamma 90.00
_space_group_name_H-M_alt 'P 1'
_space_group_IT_number 1
_space_group_name_Hall 'P 1'
loop_
_atom_site_label
_atom_site_type_symbol
_atom_site_fract_x
_atom_site_fract_y
_atom_site_fract_z
_atom_site_occupancy
Li1 Li 0.000 0.000 0.000 1
Li2 Li 0.000 0.500 0.250 1
Li3 Li 0.500 0.000 0.750 1
Li4 Li 0.500 0.500 0.500 1
Au1 Au 0.000 0.000 0.500 1
Au2 Au 0.000 0.500 0.750 1
Au3 Au 0.500 0.000 0.250 1
Au4 Au 0.500 0.500 0.000 1
I1 I 0.247 0.250 0.125 1
I2 I 0.250 0.747 0.375 1
I3 I 0.250 0.753 0.875 1
I4 I 0.253 0.250 0.625 1
I5 I 0.747 0.750 0.625 1
I6 I 0.750 0.247 0.875 1
I7 I 0.750 0.253 0.375 1
I8 I 0.753 0.750 0.125 1
# ρ = 5.95 g/cm3
# symmetry = I-42d
# uncorrected formation energy = -0.581 eV per atom
# density of states at the Fermi level = 0.0 states/eV per cell



Entry 11:
# Li3AuI SCAN single point on PBEsol structure
data_Li3AuI
_cell_length_a 4.946
_cell_length_b 4.946
_cell_length_c 4.946
_cell_angle_alpha 90.00
_cell_angle_beta 90.00
_cell_angle_gamma 90.00
_space_group_name_H-M_alt 'P 1'
_space_group_IT_number 1
_space_group_name_Hall 'P 1'
loop_
_atom_site_label
_atom_site_type_symbol
_atom_site_fract_x
_atom_site_fract_y
_atom_site_fract_z
_atom_site_occupancy
Li1 Li 0.000 0.000 0.500 1
Li2 Li 0.000 0.500 0.000 1
Li3 Li 0.500 0.000 0.000 1
Au1 Au 0.000 0.000 0.000 1
I1 I 0.500 0.500 0.500 1
# ρ = 4.73 g/cm3
# symmetry = Pm-3m
# uncorrected formation energy = -0.504 eV per atom
# density of states at the Fermi level = 2.4 states/eV per cell



Entry 12:
# Mg2Au2I SCAN single point on PBEsol structure
data_Mg2Au2I
_cell_length_a 4.412
_cell_length_b 4.412
_cell_length_c 11.670
_cell_angle_alpha 90.00
_cell_angle_beta 90.00
_cell_angle_gamma 90.00
_space_group_name_H-M_alt 'P 1'
_space_group_IT_number 1
_space_group_name_Hall 'P 1'
loop_
_atom_site_label
_atom_site_type_symbol
_atom_site_fract_x
_atom_site_fract_y
_atom_site_fract_z
_atom_site_occupancy
Mg1 Mg 0.000 0.500 0.250 1
Mg2 Mg 0.000 0.500 0.750 1
Mg3 Mg 0.500 0.000 0.250 1
Mg4 Mg 0.500 0.000 0.750 1
Au1 Au 0.000 0.000 0.119 1
Au2 Au 0.000 0.000 0.881 1
Au3 Au 0.500 0.500 0.381 1
Au4 Au 0.500 0.500 0.619 1
I1 I 0.000 0.000 0.500 1
I2 I 0.500 0.500 0.000 1
# ρ = 8.32 g/cm3
# symmetry = I4/mmm
# uncorrected formation energy = -0.417 eV per atom
# density of states at the Fermi level = 3.6 states/eV per cell



Entry 13:
# MgAuIO2 SCAN single point on PBEsol structure
data_MgAuIO2
_cell_length_a 4.142
_cell_length_b 4.142
_cell_length_c 5.346
_cell_angle_alpha 90.00
_cell_angle_beta 90.00
_cell_angle_gamma 90.00
_space_group_name_H-M_alt 'P 1'
_space_group_IT_number 1
_space_group_name_Hall 'P 1'
loop_
_atom_site_label
_atom_site_type_symbol
_atom_site_fract_x
_atom_site_fract_y
_atom_site_fract_z
_atom_site_occupancy
Mg1 Mg 0.000 0.000 0.000 1
Au1 Au 0.500 0.500 0.500 1
I1 I 0.500 0.500 0.000 1
O1 O 0.000 0.500 0.500 1
O2 O 0.500 0.000 0.500 1
# ρ = 6.88 g/cm3
# symmetry = P4/mmm
# uncorrected formation energy = 0.054 eV per atom
# density of states at the Fermi level = 1.4 states/eV per cell